Crystalline Sm3In at its relaxed geometry. Source: the Alexandria database, functional PBE. Values from VASP.

Cell and atoms, written as Quantum ESPRESSO input:
```
&SYSTEM
  ibrav = 0, nat = 4, ntyp = 2
/
ATOMIC_SPECIES
Sm 150.36 Sm.upf
In 114.82 In.upf
CELL_PARAMETERS angstrom
-0.9386 -3.0669 1.5897
-1.2019 -2.4399 -5.4168
6.4146 0.9291 1.5494
ATOMIC_POSITIONS angstrom
Sm 2.4855 -1.8206 -2.0449
Sm -1.0402 -2.6923 -1.7778
Sm 2.1706 -1.9817 1.4888
In -0.0115 -0.0233 -0.0518
```

Computed properties:
Energy relative to the lowest polymorph listed for this composition (eV/atom): 0.0376
Calculated formation energy (meV/atom): -233
Volume (A^3/atom): 30.7
SG: Imm2 (44)


Crystalline Mg2GeH at its relaxed geometry. Source: the Alexandria database, functional PBE. Values from VASP.

Cell and atoms, written as Quantum ESPRESSO input:
```
&SYSTEM
  ibrav = 0, nat = 8, ntyp = 3
/
ATOMIC_SPECIES
H 1.01 H.upf
Ge 72.64 Ge.upf
Mg 24.30 Mg.upf
CELL_PARAMETERS angstrom
5.2326 0.0000 0.0000
0.0000 5.2326 0.0000
2.6163 2.6163 5.3737
ATOMIC_POSITIONS angstrom
H 2.6163 2.6163 0.0000
H 2.6163 5.2326 2.6868
Ge 0.0000 0.0000 0.0000
Ge 5.2326 2.6163 2.6868
Mg 3.3055 1.3081 1.3434
Mg 1.9271 3.9244 1.3434
Mg 3.9244 4.5433 4.0303
Mg 6.5407 5.9218 4.0303
```

Computed properties:
Energy relative to the lowest polymorph listed for this composition (eV/atom): 0.2740
Volume (A^3/atom): 18.4
SG: I-42d (122)


Crystalline K2PmAs2O6 at its relaxed geometry. Source: the Alexandria database, functional PBE. Values from VASP.

Cell and atoms, written as Quantum ESPRESSO input:
```
&SYSTEM
  ibrav = 0, nat = 11, ntyp = 4
/
ATOMIC_SPECIES
K 39.10 K.upf
Pm 145.00 Pm.upf
As 74.92 As.upf
O 16.00 O.upf
CELL_PARAMETERS angstrom
6.0792 0.0000 0.0000
-3.0396 4.9935 -0.1826
0.0000 -3.0168 6.6759
ATOMIC_POSITIONS angstrom
K 3.0396 1.5460 1.0885
K 0.0000 0.4308 5.4048
Pm 3.0396 -1.5084 3.3379
As 3.0396 2.0104 5.0665
As 0.0000 -0.0337 1.4268
O 3.0396 0.7876 3.8017
O -1.6275 3.9204 1.4855
O 1.4121 -1.9436 5.0078
O 4.6671 -1.9436 5.0078
O 1.6275 3.9204 1.4855
O 0.0000 1.1891 2.6916
```

Computed properties:
Energy relative to the elements, uncorrected (eV/atom): -1.9049
Volume (A^3/atom): 18.1
SG: C2/m (12)


Crystalline KTa2Ru at its relaxed geometry. Source: the Alexandria database, functional PBE. Values from VASP.

Cell and atoms, written as Quantum ESPRESSO input:
```
&SYSTEM
  ibrav = 0, nat = 4, ntyp = 3
/
ATOMIC_SPECIES
K 39.10 K.upf
Ru 101.07 Ru.upf
Ta 180.95 Ta.upf
CELL_PARAMETERS angstrom
-8.9657 -3.1256 4.1059
-7.0622 -5.0764 5.6006
-7.5473 -2.2167 6.7183
ATOMIC_POSITIONS angstrom
K -11.6202 -5.1354 8.0958
Ru -17.2827 -7.6378 12.0409
Ta -0.1786 -0.0789 0.1244
Ta -6.2811 -2.7758 4.3761
```

Computed properties:
Energy relative to the lowest polymorph listed for this composition (eV/atom): 0.0730
Calculated formation energy (meV/atom): 561
Volume (A^3/atom): 21.3
SG: R3m (160)


Crystalline CeMgNiGe2 at its relaxed geometry. Source: the Alexandria database, functional PBE. Values from VASP.

Cell and atoms, written as Quantum ESPRESSO input:
```
&SYSTEM
  ibrav = 0, nat = 10, ntyp = 4
/
ATOMIC_SPECIES
Ce 140.12 Ce.upf
Mg 24.30 Mg.upf
Ni 58.69 Ni.upf
Ge 72.64 Ge.upf
CELL_PARAMETERS angstrom
-5.4101 -2.4357 0.4327
2.1263 -4.4260 1.6714
-0.4359 2.0146 5.8895
ATOMIC_POSITIONS angstrom
Ce -0.9563 -0.6709 3.4641
Ce -2.7634 -4.1762 4.5294
Mg -1.8180 -4.8560 1.5265
Mg -1.4657 -2.0057 0.5776
Ni 0.0000 0.0000 0.0000
Ni 1.0632 -2.2130 0.8357
Ge -3.9238 -1.4280 5.2346
Ge -3.6955 -2.4831 2.1501
Ge -0.0242 -2.3640 5.8434
Ge 0.2041 -3.4191 2.7589
```

Computed properties:
Calculated formation energy (meV/atom): -425
Volume (A^3/atom): 19.3
SG: Pmma (51)


Crystalline AcPrYGa at its relaxed geometry. Source: the Alexandria database, functional PBE. Values from VASP.

Cell and atoms, written as Quantum ESPRESSO input:
```
&SYSTEM
  ibrav = 0, nat = 4, ntyp = 4
/
ATOMIC_SPECIES
Pr 140.91 Pr.upf
Y 88.91 Y.upf
Ac 227.00 Ac.upf
Ga 69.72 Ga.upf
CELL_PARAMETERS angstrom
-0.9553 0.2582 5.4825
-4.2250 -2.8664 2.2294
1.0301 -4.4290 3.2186
ATOMIC_POSITIONS angstrom
Pr -1.0375 -1.7593 2.7326
Y -3.1126 -5.2778 8.1979
Ac -2.0751 -3.5185 5.4652
Ga 0.0000 0.0000 0.0000
```

Computed properties:
Calculated formation energy (meV/atom): 18
Volume (A^3/atom): 30.6
SG: F-43m (216)


Crystalline Tb5PrDy3 at its relaxed geometry. Source: the Alexandria database, functional PBE. Values from VASP.

Cell and atoms, written as Quantum ESPRESSO input:
```
&SYSTEM
  ibrav = 0, nat = 18, ntyp = 3
/
ATOMIC_SPECIES
Tb 158.93 Tb.upf
Pr 140.91 Pr.upf
Dy 162.50 Dy.upf
CELL_PARAMETERS angstrom
9.0687 1.8215 1.3510
4.2345 8.2236 1.3510
5.8004 4.3798 10.5979
ATOMIC_POSITIONS angstrom
Tb 11.7918 6.8382 4.2714
Tb 5.7803 6.1764 1.3510
Tb 8.7824 6.6315 2.4469
Tb 8.3971 6.3406 5.7771
Tb 10.7064 8.0843 7.5229
Tb 10.3211 7.7934 10.8530
Tb 9.8051 9.4694 4.2714
Tb 7.5229 3.8686 1.3510
Tb 7.3117 7.5867 9.0285
Tb 9.2985 4.9555 9.0285
Pr 16.9398 12.7911 11.6168
Pr 2.1637 1.6338 1.6831
Dy 13.2341 9.9930 9.1374
Dy 13.0459 9.8508 5.8603
Dy 0.0000 0.0000 0.0000
Dy 2.9002 2.1899 5.2989
Dy 5.8694 4.4319 4.1625
Dy 6.0576 4.5741 7.4397
```

Computed properties:
Energy relative to the lowest polymorph listed for this composition (eV/atom): 0.2341
Calculated formation energy (meV/atom): 412
Volume (A^3/atom): 35.0
SG: C2/m (12)


Crystalline AcAl12Pd4 at its relaxed geometry. Source: the Alexandria database, functional PBE. Values from VASP.

Cell and atoms, written as Quantum ESPRESSO input:
```
&SYSTEM
  ibrav = 0, nat = 17, ntyp = 3
/
ATOMIC_SPECIES
Ac 227.00 Ac.upf
Al 26.98 Al.upf
Pd 106.42 Pd.upf
CELL_PARAMETERS angstrom
-2.7114 6.4336 3.1863
-4.1640 -5.9884 2.3866
7.3237 -0.9896 2.0690
ATOMIC_POSITIONS angstrom
Ac 0.0000 0.0000 0.0000
Al -2.3750 3.1122 3.8668
Al -1.8666 -0.9965 2.6705
Al 1.8762 3.6268 4.3495
Al 4.4147 0.3161 3.2694
Al -1.4280 -4.1712 3.2924
Al 2.3148 0.4521 4.9715
Al 0.4676 1.9641 2.7444
Al -0.0194 -2.5085 4.8975
Al -3.9665 -0.8605 4.3725
Al -1.4100 0.9810 5.2276
Al 1.8582 -1.5253 2.4143
Al 2.8232 -3.6565 3.7751
Pd -2.0820 -2.9942 1.1933
Pd -1.3557 3.2168 1.5932
Pd 0.2241 -0.2722 3.8210
Pd 3.6618 -0.4948 1.0345
```

Computed properties:
Calculated formation energy (meV/atom): -203
Volume (A^3/atom): 20.5
SG: Im-3 (204)